{"formula": "MgHg5", "functional": "meta-GGA SCAN", "state": "PBEsol geometry", "cell": [[3.435, 0.000, 0.000], [0.000, 3.435, 0.000], [0.000, 0.000, 11.512]], "species": ["Mg", "Hg", "Hg", "Hg", "Hg", "Hg"], "frac_coords": [[0.000, 0.000, 0.000], [0.000, 0.000, 0.326], [0.000, 0.000, 0.674], [0.500, 0.500, 0.151], [0.500, 0.500, 0.500], [0.500, 0.500, 0.849]], "formation_enthalpy_0k_ev_per_atom": -0.08}

---

{"formula": "TeRhCl2", "functional": "meta-GGA SCAN", "state": "PBEsol geometry", "cell": [[3.040, 0.000, 0.000], [0.000, 3.040, 0.000], [0.000, 0.000, 9.692]], "species": ["Te", "Rh", "Cl", "Cl"], "frac_coords": [[0.000, 0.000, 0.000], [0.000, 0.000, 0.500], [0.500, 0.500, 0.349], [0.500, 0.500, 0.651]], "de_polymorph_mev_per_atom": 239.5}

---

{"formula": "Mg2Sb2Se", "functional": "meta-GGA SCAN", "state": "PBEsol geometry", "cell": [[7.328, 0.000, 0.000], [0.000, 7.328, 0.000], [0.000, 0.000, 4.548]], "species": ["Mg", "Mg", "Mg", "Mg", "Sb", "Sb", "Sb", "Sb", "Se", "Se"], "frac_coords": [[0.171, 0.329, 0.000], [0.329, 0.829, 0.000], [0.671, 0.171, 0.000], [0.829, 0.671, 0.000], [0.134, 0.634, 0.500], [0.366, 0.134, 0.500], [0.634, 0.866, 0.500], [0.866, 0.366, 0.500], [0.000, 0.000, 0.000], [0.500, 0.500, 0.000]], "e_tot_ev_per_atom": -21.15}

---

{"formula": "RbTlPd2", "functional": "meta-GGA SCAN", "state": "PBEsol geometry", "cell": [[0.000, 3.490, 3.490], [3.490, 0.000, 3.490], [3.490, 3.490, 0.000]], "species": ["Rb", "Tl", "Pd", "Pd"], "frac_coords": [[0.000, 0.000, 0.000], [0.500, 0.500, 0.500], [0.250, 0.250, 0.250], [0.750, 0.750, 0.750]], "formation_enthalpy_0k_ev_per_atom": 0.23}

---

{"formula": "ZrBe3", "functional": "meta-GGA SCAN", "state": "PBEsol geometry", "cell": [[3.588, 0.000, 0.000], [0.000, 5.237, 0.000], [0.000, 0.000, 5.025]], "species": ["Zr", "Zr", "Be", "Be", "Be", "Be", "Be", "Be"], "frac_coords": [[0.250, 0.250, 0.112], [0.750, 0.750, 0.888], [0.250, 0.035, 0.619], [0.250, 0.465, 0.619], [0.250, 0.750, 0.314], [0.750, 0.250, 0.686], [0.750, 0.535, 0.381], [0.750, 0.965, 0.381]], "de_polymorph_mev_per_atom": 0.0, "formation_enthalpy_0k_ev_per_atom": -0.18}

---

{"formula": "Li3ZnBr", "functional": "meta-GGA SCAN", "state": "PBEsol geometry", "cell": [[4.813, 0.000, 0.000], [0.000, 4.813, 0.000], [0.000, 0.000, 4.813]], "species": ["Li", "Li", "Li", "Zn", "Br"], "frac_coords": [[0.000, 0.000, 0.500], [0.000, 0.500, 0.000], [0.500, 0.000, 0.000], [0.500, 0.500, 0.500], [0.000, 0.000, 0.000]], "e_tot_ev_per_atom": -8.39}

---

{"formula": "Li2YSb", "functional": "meta-GGA SCAN", "state": "PBEsol geometry", "cell": [[3.408, 0.000, 0.000], [0.000, 4.246, 0.000], [0.000, 0.000, 6.184]], "species": ["Li", "Li", "Y", "Sb"], "frac_coords": [[0.000, 0.000, 0.211], [0.000, 0.000, 0.789], [0.500, 0.500, 0.500], [0.500, 0.500, 0.000]], "e_tot_ev_per_atom": -17.82}

---

{"formula": "ZrCdHg2", "functional": "meta-GGA SCAN", "state": "PBEsol geometry", "cell": [[-1.543, 2.621, 5.219], [1.543, -2.621, 5.219], [1.543, 2.621, -5.219]], "species": ["Zr", "Cd", "Hg", "Hg"], "frac_coords": [[0.000, 0.000, 0.000], [0.746, 0.246, 0.500], [0.246, 0.746, 0.500], [0.496, 0.496, 0.000]], "formation_enthalpy_0k_ev_per_atom": -0.08}

---

{"formula": "SrTl2SiH", "functional": "meta-GGA SCAN", "state": "PBEsol geometry", "cell": [[5.629, 0.000, 0.000], [0.000, 5.629, 0.000], [0.000, 0.000, 3.606]], "species": ["Sr", "Tl", "Tl", "Si", "H"], "frac_coords": [[0.000, 0.000, 0.000], [0.000, 0.500, 0.500], [0.500, 0.000, 0.500], [0.500, 0.500, 0.500], [0.500, 0.500, 0.000]], "e_tot_ev_per_atom": -35.95}

---

{"formula": "HgSbAu", "functional": "meta-GGA SCAN", "state": "PBEsol geometry", "cell": [[4.105, 0.000, 0.000], [-2.053, 3.555, 0.000], [0.000, 0.000, 4.825]], "species": ["Hg", "Sb", "Au"], "frac_coords": [[0.000, 0.000, 0.000], [0.333, 0.667, 0.612], [0.667, 0.333, 0.325]], "e_tot_ev_per_atom": -58.20}

---

{"formula": "LiTl2", "functional": "meta-GGA SCAN", "state": "PBEsol geometry", "cell": [[3.413, 0.000, 0.000], [-1.707, 2.956, 0.000], [0.000, 0.000, 7.067]], "species": ["Li", "Tl", "Tl"], "frac_coords": [[0.000, 0.000, 0.000], [0.333, 0.667, 0.314], [0.667, 0.333, 0.686]], "de_polymorph_mev_per_atom": 31.4, "formation_enthalpy_0k_ev_per_atom": -0.16}

---

{"formula": "CdAgHg2", "functional": "meta-GGA SCAN", "state": "PBEsol geometry", "cell": [[-2.215, 2.215, 4.059], [2.215, -2.215, 4.059], [2.215, 2.215, -4.059]], "species": ["Cd", "Ag", "Hg", "Hg"], "frac_coords": [[0.000, 0.000, 0.000], [0.500, 0.500, 0.000], [0.250, 0.750, 0.500], [0.750, 0.250, 0.500]], "formation_enthalpy_0k_ev_per_atom": 0.04}

---

{"formula": "Ag2Au", "functional": "meta-GGA SCAN", "state": "PBEsol geometry", "cell": [[7.902, 0.000, 0.000], [-3.951, 6.843, 0.000], [0.000, 0.000, 2.805]], "species": ["Ag", "Ag", "Ag", "Ag", "Ag", "Ag", "Au", "Au", "Au"], "frac_coords": [[0.000, 0.306, 0.000], [0.000, 0.638, 0.500], [0.306, 0.000, 0.000], [0.362, 0.362, 0.500], [0.638, 0.000, 0.500], [0.694, 0.694, 0.000], [0.000, 0.000, 0.500], [0.333, 0.667, 0.000], [0.667, 0.333, 0.000]], "de_polymorph_mev_per_atom": 21.1, "formation_enthalpy_0k_ev_per_atom": -0.05}

---

{"formula": "CoTe2Ir", "functional": "meta-GGA SCAN", "state": "PBEsol geometry", "cell": [[0.000, 3.330, 3.330], [3.330, 0.000, 3.330], [3.330, 3.330, 0.000]], "species": ["Co", "Te", "Te", "Ir"], "frac_coords": [[0.000, 0.000, 0.000], [0.250, 0.250, 0.250], [0.500, 0.500, 0.500], [0.750, 0.750, 0.750]], "de_polymorph_mev_per_atom": 353.0}

---

{"formula": "TcAsCl2", "functional": "meta-GGA SCAN", "state": "PBEsol geometry", "cell": [[3.203, 0.000, 0.000], [0.000, 3.203, 0.000], [0.000, 0.000, 8.315]], "species": ["Tc", "As", "Cl", "Cl"], "frac_coords": [[0.000, 0.000, 0.000], [0.500, 0.500, 0.881], [0.000, 0.000, 0.267], [0.500, 0.500, 0.619]], "de_polymorph_mev_per_atom": 0.0}

---

{"formula": "YPd2O4", "functional": "meta-GGA SCAN", "state": "PBEsol geometry", "cell": [[-2.856, 2.856, 4.973], [2.856, -2.856, 4.973], [2.856, 2.856, -4.973]], "species": ["Y", "Y", "Pd", "Pd", "Pd", "Pd", "O", "O", "O", "O", "O", "O", "O", "O"], "frac_coords": [[0.375, 0.125, 0.250], [0.625, 0.875, 0.750], [0.000, 0.000, 0.500], [0.000, 0.500, 0.000], [0.000, 0.500, 0.500], [0.500, 0.500, 0.000], [0.022, 0.737, 0.905], [0.237, 0.833, 0.715], [0.333, 0.117, 0.595], [0.383, 0.478, 0.215], [0.617, 0.522, 0.785], [0.667, 0.883, 0.405], [0.763, 0.167, 0.285], [0.978, 0.263, 0.095]], "e_tot_ev_per_atom": -18.77}

---

{"formula": "ZrIn4As", "functional": "meta-GGA SCAN", "state": "PBEsol geometry", "cell": [[0.000, 4.071, 4.071], [4.071, 0.000, 4.071], [4.071, 4.071, 0.000]], "species": ["Zr", "In", "In", "In", "In", "As"], "frac_coords": [[0.000, 0.000, 0.000], [0.124, 0.625, 0.625], [0.625, 0.124, 0.625], [0.625, 0.625, 0.124], [0.625, 0.625, 0.625], [0.250, 0.250, 0.250]], "formation_enthalpy_0k_ev_per_atom": 0.20}

---

{"formula": "CrS2", "functional": "meta-GGA SCAN", "state": "PBEsol geometry", "cell": [[-2.531, 2.531, 4.860], [2.531, -2.531, 4.860], [2.531, 2.531, -4.860]], "species": ["Cr", "Cr", "S", "S", "S", "S"], "frac_coords": [[0.000, 0.000, 0.000], [0.750, 0.250, 0.500], [0.122, 0.625, 0.997], [0.375, 0.372, 0.497], [0.628, 0.125, 0.003], [0.875, 0.878, 0.503]], "e_tot_ev_per_atom": -13.07}

---

{"formula": "CaPt2", "functional": "meta-GGA SCAN", "state": "PBEsol geometry", "cell": [[4.674, 0.000, 0.000], [-2.337, 4.047, 0.000], [0.000, 0.000, 5.608]], "species": ["Ca", "Ca", "Pt", "Pt", "Pt", "Pt"], "frac_coords": [[0.333, 0.667, 0.250], [0.667, 0.333, 0.750], [0.000, 0.000, 0.000], [0.000, 0.000, 0.500], [0.333, 0.667, 0.750], [0.667, 0.333, 0.250]], "formation_enthalpy_0k_ev_per_atom": -0.51}

---

{"formula": "Mn21O40", "functional": "meta-GGA SCAN", "state": "PBEsol geometry", "cell": [[-6.361, 6.361, 4.024], [6.361, -6.361, 4.024], [6.361, 6.361, -4.024]], "species": ["Mn", "Mn", "Mn", "Mn", "Mn", "Mn", "Mn", "Mn", "Mn", "Mn", "Mn", "Mn", "Mn", "Mn", "Mn", "Mn", "Mn", "Mn", "Mn", "Mn", "Mn", "O", "O", "O", "O", "O", "O", "O", "O", "O", "O", "O", "O", "O", "O", "O", "O", "O", "O", "O", "O", "O", "O", "O", "O", "O", "O", "O", "O", "O", "O", "O", "O", "O", "O", "O", "O", "O", "O", "O", "O"], "frac_coords": [[0.000, 0.000, 0.000], [0.027, 0.079, 0.357], [0.124, 0.871, 0.744], [0.126, 0.380, 0.256], [0.129, 0.874, 0.254], [0.225, 0.674, 0.151], [0.326, 0.476, 0.551], [0.329, 0.482, 0.051], [0.330, 0.973, 0.052], [0.431, 0.279, 0.949], [0.518, 0.569, 0.848], [0.524, 0.075, 0.849], [0.527, 0.075, 0.351], [0.620, 0.876, 0.746], [0.721, 0.671, 0.152], [0.722, 0.670, 0.643], [0.725, 0.176, 0.649], [0.824, 0.473, 0.548], [0.921, 0.278, 0.948], [0.925, 0.275, 0.452], [0.925, 0.775, 0.449], [0.055, 0.721, 0.554], [0.079, 0.235, 0.535], [0.082, 0.249, 0.055], [0.103, 0.746, 0.068], [0.150, 0.005, 0.433], [0.167, 0.501, 0.446], [0.172, 0.517, 0.968], [0.193, 0.027, 0.945], [0.254, 0.322, 0.357], [0.279, 0.833, 0.334], [0.284, 0.850, 0.855], [0.300, 0.344, 0.868], [0.349, 0.605, 0.233], [0.367, 0.098, 0.244], [0.372, 0.116, 0.767], [0.395, 0.628, 0.744], [0.457, 0.921, 0.156], [0.477, 0.432, 0.132], [0.483, 0.451, 0.655], [0.499, 0.945, 0.666], [0.549, 0.205, 0.032], [0.568, 0.700, 0.044], [0.572, 0.716, 0.567], [0.595, 0.228, 0.544], [0.656, 0.523, 0.956], [0.678, 0.034, 0.932], [0.684, 0.051, 0.456], [0.699, 0.543, 0.465], [0.751, 0.807, 0.833], [0.765, 0.301, 0.844], [0.772, 0.316, 0.367], [0.795, 0.828, 0.345], [0.854, 0.123, 0.756], [0.877, 0.633, 0.731], [0.884, 0.651, 0.256], [0.902, 0.146, 0.269], [0.949, 0.405, 0.633], [0.966, 0.897, 0.643], [0.973, 0.918, 0.167], [0.995, 0.428, 0.145]], "e_tot_ev_per_atom": -12.43}